K2VBiO6 | PBE+U | relaxed

Values from the calculation:
E: -5.632 eV/atom

Unit cell a=5.579 b=6.244 c=6.244 alpha=120.00 beta=90.00 gamma=90.00
Each line ends with the local moment (μB).
Sites, in units of the cell vectors:
O  0.213  0.860  0.140  0.07
K  0.885  0.667  0.333  0.00
O  0.787  0.140  0.280  0.07
O  0.213  0.860  0.720  0.07
O  0.213  0.280  0.140  0.07
V  0.000  0.000  0.000  -0.07
O  0.787  0.140  0.860  0.07
O  0.787  0.720  0.860  0.07
Bi  0.500  0.000  0.000  -0.01
K  0.115  0.333  0.667  0.00